VASP calculation (GGA-PBE) on a geometry-optimized LiCe2PrTe4 structure.

Magnetic moment = 2.4 Bohr magnetons per cell
Formation energy (no corrections) = -1.327 eV per atom
Fermi-level density of states = 15.6 states/eV/cell
SG = P2/m

a b c (Å): 4.4675 7.7700 7.7504
angles (deg): 70.51 90.00 90.00
Last column: nearest neighbours and their distance in Å.
Sites, in units of the cell vectors:
Li: 0.5000 0.5000 0.0000  6 Te 3.09
Te: 0.0000 0.2602 0.2383  2 Li 3.09, 3 Ce 3.16-3.23, 1 Pr 3.18
Ce: 0.5000 0.0000 0.5000  6 Te 3.23-3.25
Te: 0.5000 0.7455 0.2417  1 Li 3.09, 3 Ce 3.15-3.25, 2 Pr 3.18
Te: 0.5000 0.2545 0.7583  1 Li 3.09, 3 Ce 3.15-3.25, 2 Pr 3.18
Pr: 0.0000 0.5000 0.5000  6 Te 3.18
Te: 0.0000 0.7398 0.7617  2 Li 3.09, 3 Ce 3.16-3.23, 1 Pr 3.18
Ce: 0.0000 0.0000 0.0000  6 Te 3.15-3.16